*P*
DFT (PBE-GGA) results for crystalline Tl2PtSeS at its relaxed geometry.

Lattice parameters (Å, degrees): 5.670 5.670 4.379 90.00 90.00 90.00
Element x y z (fractional)
1 Tl 0.000 0.500 0.000
2 Tl 0.500 0.000 0.000
3 Pt 0.000 0.000 0.000
4 Se 0.500 0.500 0.500
5 S 0.000 0.000 0.500

Values from the calculation:
- Magnetic moment: 0.00 μB per cell



*Q*
DFT (PBE-GGA) results for crystalline Tl2PtSeS at its relaxed geometry.

Lattice parameters (Å, degrees): 6.043 6.043 4.536 90.00 90.00 90.00
Element x y z (fractional)
1 Tl 0.000 0.500 0.000
2 Tl 0.500 0.000 0.000
3 Pt 0.000 0.000 0.500
4 Se 0.000 0.000 0.000
5 S 0.500 0.500 0.500

Values from the calculation:
- Magnetic moment: 0.00 μB per cell



Stability summary - winner: *P*; margin: 381 meV/atom.



*P*
DFT (PBE-GGA) results for crystalline Sm5PtS4 at its relaxed geometry.

Lattice parameters (Å, degrees): 14.703 14.703 14.703 164.22 164.22 22.39
Element x y z (fractional)
1 Sm 0.000 0.000 0.000
2 Sm 0.202 0.202 0.000
3 Sm 0.398 0.398 0.000
4 Sm 0.602 0.602 0.000
5 Sm 0.798 0.798 0.000
6 Pt 0.500 0.500 0.000
7 S 0.103 0.103 0.000
8 S 0.300 0.300 0.000
9 S 0.700 0.700 0.000
10 S 0.897 0.897 0.000

Values from the calculation:
- Magnetic moment: 0.00 μB per cell



*Q*
DFT (PBE-GGA) results for crystalline Sm5PtS4 at its relaxed geometry.

Lattice parameters (Å, degrees): 7.093 7.093 10.014 118.57 118.57 32.64
Element x y z (fractional)
1 Sm 0.000 0.000 0.000
2 Sm 0.201 0.201 0.805
3 Sm 0.400 0.400 0.600
4 Sm 0.600 0.600 0.400
5 Sm 0.799 0.799 0.195
6 Pt 0.000 0.000 0.500
7 S 0.200 0.200 0.297
8 S 0.400 0.400 0.097
9 S 0.600 0.600 0.903
10 S 0.800 0.800 0.703

Values from the calculation:
- Magnetic moment: 0.00 μB per cell



Stability summary - winner: *Q*; margin: 10 meV/atom.



*P*
DFT (PBE-GGA) results for crystalline Sm2PtS at its relaxed geometry.

Lattice parameters (Å, degrees): 7.587 7.587 7.587 30.73 30.73 30.73
Element x y z (fractional)
1 Sm 0.000 0.000 0.000
2 Sm 0.177 0.177 0.177
3 Pt 0.589 0.589 0.589
4 S 0.421 0.421 0.421

Values from the calculation:
- Magnetic moment: 0.00 μB per cell



*Q*
DFT (PBE-GGA) results for crystalline Sm2PtS at its relaxed geometry.

Lattice parameters (Å, degrees): 7.460 7.460 7.460 31.23 31.23 31.23
Element x y z (fractional)
1 Sm 0.248 0.248 0.248
2 Sm 0.752 0.752 0.752
3 Pt 0.500 0.500 0.500
4 S 0.000 0.000 0.000

Values from the calculation:
- Magnetic moment: 0.00 μB per cell



*R*
DFT (PBE-GGA) results for crystalline Sm2PtS at its relaxed geometry.

Lattice parameters (Å, degrees): 11.610 11.610 4.194 90.00 90.00 160.55
Element x y z (fractional)
1 Sm 0.067 0.933 0.750
2 Sm 0.315 0.685 0.750
3 Sm 0.685 0.315 0.250
4 Sm 0.933 0.067 0.250
5 Pt 0.453 0.547 0.750
6 Pt 0.547 0.453 0.250
7 S 0.191 0.809 0.750
8 S 0.809 0.191 0.250

Values from the calculation:
- Magnetic moment: 0.00 μB per cell



*S*
DFT (PBE-GGA) results for crystalline Sm2PtS at its relaxed geometry.

Lattice parameters (Å, degrees): 4.032 5.828 8.418 90.00 90.00 90.00
Element x y z (fractional)
1 Sm 0.250 0.250 0.130
2 Sm 0.250 0.250 0.635
3 Sm 0.750 0.750 0.365
4 Sm 0.750 0.750 0.870
5 Pt 0.250 0.750 0.120
6 Pt 0.750 0.250 0.880
7 S 0.250 0.750 0.611
8 S 0.750 0.250 0.389

Values from the calculation:
- Magnetic moment: 0.00 μB per cell



Stability summary - winner: *R*; margin: 61 meV/atom.



*P*
DFT (PBE-GGA) results for crystalline SrPtS2 at its relaxed geometry.

Lattice parameters (Å, degrees): 6.190 6.190 6.190 49.52 49.52 49.52
Element x y z (fractional)
1 Sr 0.000 0.000 0.000
2 Pt 0.500 0.500 0.500
3 S 0.366 0.366 0.366
4 S 0.634 0.634 0.634

Values from the calculation:
- Magnetic moment: 0.00 μB per cell



*Q*
DFT (PBE-GGA) results for crystalline SrPtS2 at its relaxed geometry.

Lattice parameters (Å, degrees): 4.827 4.827 4.827 60.00 60.00 60.00
Element x y z (fractional)
1 Sr 0.000 0.000 0.000
2 Pt 0.500 0.500 0.500
3 S 0.250 0.250 0.250
4 S 0.750 0.750 0.750

Values from the calculation:
- Magnetic moment: 1.85 μB per cell



Stability summary - winner: *P*; margin: 293 meV/atom.



*P*
DFT (PBE-GGA) results for crystalline SrPtS2 at its relaxed geometry.

Lattice parameters (Å, degrees): 7.991 7.991 7.991 140.25 140.25 57.48
Element x y z (fractional)
1 Sr 0.000 0.000 0.000
2 Sr 0.750 0.250 0.500
3 Pt 0.250 0.750 0.500
4 Pt 0.500 0.500 0.000
5 S 0.216 0.625 0.091
6 S 0.375 0.466 0.591
7 S 0.534 0.125 0.909
8 S 0.875 0.784 0.409

Values from the calculation:
- Magnetic moment: 0.00 μB per cell



*Q*
DFT (PBE-GGA) results for crystalline SrPtS2 at its relaxed geometry.

Lattice parameters (Å, degrees): 8.461 8.461 8.461 25.90 25.90 25.90
Element x y z (fractional)
1 Sr 0.000 0.000 0.000
2 Pt 0.500 0.500 0.500
3 S 0.120 0.120 0.120
4 S 0.880 0.880 0.880

Values from the calculation:
- Magnetic moment: 0.00 μB per cell



Stability summary - winner: *P*; margin: 484 meV/atom.



*P*
DFT (PBE-GGA) results for crystalline SrPtS3 at its relaxed geometry.

Lattice parameters (Å, degrees): 4.806 4.806 4.806 90.00 90.00 90.00
Element x y z (fractional)
1 Sr 0.000 0.000 0.000
2 Pt 0.500 0.500 0.500
3 S 0.000 0.500 0.500
4 S 0.500 0.000 0.500
5 S 0.500 0.500 0.000

Values from the calculation:
- Magnetic moment: 0.00 μB per cell



*Q*
DFT (PBE-GGA) results for crystalline SrPtS3 at its relaxed geometry.

Lattice parameters (Å, degrees): 5.430 5.430 5.430 90.00 90.00 90.00
Element x y z (fractional)
1 Sr 0.000 0.000 0.000
2 Pt 0.500 0.500 0.500
3 S 0.000 0.000 0.500
4 S 0.000 0.500 0.000
5 S 0.500 0.000 0.000

Values from the calculation:
- Magnetic moment: 0.00 μB per cell



Stability summary - winner: *P*; margin: 1683 meV/atom.